Compound: CaAlFe2
Source: the Alexandria database
Functional: PBE
Structure: relaxed

Cell lengths 4.768, 4.768, 2.884 Å; angles 90.08, 90.08, 100.46 degrees
Sites, in units of the cell vectors:
Ca  0.000  0.000  0.000
Al  0.500  0.500  0.000
Fe  0.000  0.500  0.500
Fe  0.500  0.000  0.500

## Properties
- Space-group type: No. 12
- Raw total energy: -21.00 eV/cell
- Formation energy: 0.42 eV/atom